No. 1
Computed, not measured: a relaxed structure of Y2MnRhN at the PBE level of DFT.

The structure in extended XYZ format:
```
5
Lattice="4.873 0.000 0.000 0.000 4.873 0.000 0.000 0.000 3.601" Properties=species:S:1:pos:R:3 pbc="T T T"
Y 0.000 2.437 0.000
Y 2.437 0.000 0.000
Mn 0.000 0.000 1.800
Rh 2.437 2.437 1.800
N 0.000 0.000 0.000
```

Computed properties:
Raw formation energy in meV/atom: -807
SG: No. 123


No. 2
Computed, not measured: a relaxed structure of AsOsRu2 at the PBE level of DFT.

The structure in extended XYZ format:
```
16
Lattice="6.150 0.000 0.000 0.000 6.150 0.000 0.000 0.000 6.150" Properties=species:S:1:pos:R:3 pbc="T T T"
As 0.000 0.000 0.000
As 0.000 3.075 3.075
As 3.075 0.000 3.075
As 3.075 3.075 0.000
Os 1.537 1.537 1.537
Os 1.537 4.612 4.612
Os 4.612 1.537 4.612
Os 4.612 4.612 1.537
Ru 0.000 0.000 3.075
Ru 0.000 3.075 0.000
Ru 1.537 1.537 4.612
Ru 1.537 4.612 1.537
Ru 3.075 0.000 0.000
Ru 3.075 3.075 3.075
Ru 4.612 1.537 1.537
Ru 4.612 4.612 4.612
```

Computed properties:
Energy of formation from the pure elements in eV/atom: 0.45
SG: No. 216


No. 3
Computed, not measured: a relaxed structure of PmTlHgBi at the PBE level of DFT.

The structure in extended XYZ format:
```
16
Lattice="7.814 0.000 0.000 0.000 7.814 0.000 0.000 0.000 7.814" Properties=species:S:1:pos:R:3 pbc="T T T"
Pm 0.000 0.000 0.000
Pm 0.000 3.907 3.907
Pm 3.907 0.000 3.907
Pm 3.907 3.907 0.000
Tl 0.000 0.000 3.907
Tl 0.000 3.907 0.000
Tl 3.907 0.000 0.000
Tl 3.907 3.907 3.907
Hg 1.953 1.953 1.953
Hg 1.953 5.860 5.860
Hg 5.860 1.953 5.860
Hg 5.860 5.860 1.953
Bi 1.953 1.953 5.860
Bi 1.953 5.860 1.953
Bi 5.860 1.953 1.953
Bi 5.860 5.860 5.860
```

Computed properties:
Energy of formation from the pure elements in eV/atom: -0.31
SG: No. 216


No. 4
Computed, not measured: a relaxed structure of K2Bi4PdPt3 at the PBE level of DFT.

The structure in extended XYZ format:
```
10
Lattice="5.033 0.000 0.000 0.000 5.033 0.000 0.000 0.000 10.614" Properties=species:S:1:pos:R:3 pbc="T T T"
K 0.000 2.516 2.574
K 2.516 0.000 8.040
Bi 0.000 0.000 5.307
Bi 0.000 2.516 9.378
Bi 2.516 0.000 1.236
Bi 2.516 2.516 5.307
Pd 2.516 2.516 0.000
Pt 0.000 0.000 0.000
Pt 0.000 2.516 6.589
Pt 2.516 0.000 4.025
```

Computed properties:
Energy of formation from the pure elements in eV/atom: -0.32
SG: No. 115


No. 5
Computed, not measured: a relaxed structure of LaTmMg at the PBE level of DFT.

The structure in extended XYZ format:
```
12
Lattice="5.317 0.000 0.000 0.000 12.845 0.000 0.000 0.000 5.329" Properties=species:S:1:pos:R:3 pbc="T T T"
La 0.000 1.137 1.332
La 0.000 11.708 3.997
La 2.658 5.286 3.997
La 2.658 7.559 1.332
Tm 0.000 5.209 1.332
Tm 0.000 7.636 3.997
Tm 2.658 1.214 3.997
Tm 2.658 11.632 1.332
Mg 0.000 3.201 3.997
Mg 0.000 9.644 1.332
Mg 2.658 3.222 1.332
Mg 2.658 9.624 3.997
```

Computed properties:
Energy of formation from the pure elements in eV/atom: -0.04
E above lowest polymorph in eV/atom: 0.000
SG: No. 63


No. 6
Computed, not measured: a relaxed structure of Li2SnHgSb at the PBE level of DFT.

The structure in extended XYZ format:
```
5
Lattice="5.091 0.000 0.000 0.000 5.091 0.000 0.000 0.000 6.060" Properties=species:S:1:pos:R:3 pbc="T T T"
Li 0.000 2.545 0.000
Li 2.545 0.000 0.000
Sn 0.000 0.000 3.030
Hg 2.545 2.545 3.030
Sb 0.000 0.000 0.000
```

Computed properties:
Raw formation energy in meV/atom: -33
SG: No. 123


The following density of states at the Fermi level values (in states/eV/f.u.) correspond, in order, to the records above: 3.49; 5.33; 2.12; 6.86; 3.38; 2.43.